[1]
The following is a DFT calculation (GGA-PBE) of a relaxed AgBiS2 crystal.

abc: 7.046 7.046 7.046
angles: 133.15 133.15 68.42
Fractional positions:
Ag 0.375 0.625 0.750
Ag 0.625 0.375 0.250
Bi 0.125 0.875 0.250
Bi 0.875 0.125 0.750
S 0.119 0.369 0.750
S 0.369 0.119 0.250
S 0.631 0.881 0.750
S 0.881 0.631 0.250

Results
- Energy relative to the elements, uncorrected: -0.198 eV per atom
- Energy: -3.945 eV per atom
- Space-group type: I4_1/amd, No. 141
- Total moment: 0.0 μB per formula unit

[2]
The following is a DFT calculation (GGA-PBE) of a relaxed AgBi3S crystal.

abc: 5.480 5.480 5.480
angles: 90.00 90.00 90.00
Fractional positions:
Ag 0.000 0.000 0.000
Bi 0.000 0.000 0.500
Bi 0.000 0.500 0.000
Bi 0.500 0.000 0.000
S 0.500 0.500 0.500

Results
- Energy relative to the elements, uncorrected: 0.795 eV per atom
- Energy: -2.929 eV per atom
- Space-group type: Pm-3m, No. 221
- Total moment: 0.0 μB per formula unit

[3]
The following is a DFT calculation (GGA-PBE) of a relaxed AgBi4S7 crystal.

abc: 6.925 6.925 11.938
angles: 104.43 104.43 33.77
Fractional positions:
Ag 0.000 0.000 0.000
Bi 0.101 0.101 0.427
Bi 0.245 0.245 0.863
Bi 0.410 0.410 0.583
Bi 0.763 0.763 0.173
S 0.060 0.060 0.641
S 0.125 0.125 0.194
S 0.374 0.374 0.072
S 0.447 0.447 0.374
S 0.633 0.633 0.960
S 0.759 0.759 0.472
S 0.869 0.869 0.809

Results
- Energy relative to the elements, uncorrected: -0.258 eV per atom
- Energy: -4.197 eV per atom
- Space-group type: Cm, No. 8
- Total moment: 0.0 μB per formula unit

[4]
The following is a DFT calculation (GGA-PBE) of a relaxed AgBiS2 crystal.

abc: 6.780 6.780 6.780
angles: 34.72 34.72 34.72
Fractional positions:
Ag 0.000 0.000 0.000
Bi 0.500 0.500 0.500
S 0.253 0.253 0.253
S 0.747 0.747 0.747

Results
- Energy relative to the elements, uncorrected: -0.227 eV per atom
- Energy: -3.973 eV per atom
- Space-group type: R-3m, No. 166
- Total moment: 0.0 μB per formula unit

[5]
The following is a DFT calculation (GGA-PBE) of a relaxed AgBi2S crystal.

abc: 10.097 10.097 10.097
angles: 20.44 20.44 20.44
Fractional positions:
Ag 0.000 0.000 0.000
Bi 0.098 0.098 0.098
Bi 0.902 0.902 0.902
S 0.500 0.500 0.500

Results
- Energy relative to the elements, uncorrected: 0.269 eV per atom
- Energy: -3.416 eV per atom
- Space-group type: R-3m, No. 166
- Total moment: 0.0 μB per formula unit

[6]
The following is a DFT calculation (GGA-PBE) of a relaxed AgBiS crystal.

abc: 3.917 3.917 5.274
angles: 90.00 90.00 120.00
Fractional positions:
Ag 0.000 0.000 0.000
Bi 0.667 0.333 0.371
S 0.333 0.667 0.724

Results
- Energy relative to the elements, uncorrected: -0.012 eV per atom
- Energy: -3.632 eV per atom
- Space-group type: P3m1, No. 156
- Total moment: 0.0 μB per formula unit

[7]
The following is a DFT calculation (GGA-PBE) of a relaxed AgBiS crystal.

abc: 8.101 8.101 8.101
angles: 96.79 96.79 139.76
Fractional positions:
Ag 0.155 0.155 0.311
Ag 0.155 0.845 0.000
Ag 0.845 0.155 0.000
Ag 0.845 0.845 0.689
Bi 0.282 0.500 0.782
Bi 0.500 0.282 0.782
Bi 0.500 0.718 0.218
Bi 0.718 0.500 0.218
S 0.000 0.313 0.313
S 0.000 0.687 0.687
S 0.313 0.000 0.313
S 0.687 0.000 0.687

Results
- Energy relative to the elements, uncorrected: -0.027 eV per atom
- Energy: -3.647 eV per atom
- Space-group type: I4/mmm, No. 139
- Total moment: 0.0 μB per formula unit

[8]
The following is a DFT calculation (GGA-PBE) of a relaxed AgBi3S5 crystal.

abc: 7.130 7.130 16.666
angles: 95.32 95.32 33.08
Fractional positions:
Ag 0.000 0.000 0.000
Ag 0.500 0.500 0.500
Bi 0.028 0.028 0.283
Bi 0.234 0.234 0.609
Bi 0.281 0.281 0.106
Bi 0.719 0.719 0.894
Bi 0.766 0.766 0.391
Bi 0.972 0.972 0.717
S 0.075 0.075 0.865
S 0.148 0.148 0.441
S 0.344 0.344 0.756
S 0.348 0.348 0.965
S 0.413 0.413 0.359
S 0.587 0.587 0.641
S 0.652 0.652 0.035
S 0.656 0.656 0.244
S 0.852 0.852 0.559
S 0.925 0.925 0.135

Results
- Energy relative to the elements, uncorrected: -0.309 eV per atom
- Energy: -4.213 eV per atom
- Space-group type: C2/m, No. 12
- Total moment: 0.0 μB per formula unit

[9]
The following is a DFT calculation (GGA-PBE) of a relaxed Ag2BiS2 crystal.

abc: 7.672 7.672 3.597
angles: 90.00 90.00 90.00
Fractional positions:
Ag 0.130 0.370 0.000
Ag 0.370 0.870 0.000
Ag 0.630 0.130 0.000
Ag 0.870 0.630 0.000
Bi 0.000 0.000 0.500
Bi 0.500 0.500 0.500
S 0.175 0.675 0.500
S 0.325 0.175 0.500
S 0.675 0.825 0.500
S 0.825 0.325 0.500

Results
- Energy relative to the elements, uncorrected: 0.049 eV per atom
- Energy: -3.518 eV per atom
- Space-group type: P4/mbm, No. 127
- Total moment: 0.0 μB per formula unit

[10]
The following is a DFT calculation (GGA-PBE) of a relaxed AgBiS2 crystal.

abc: 8.573 8.573 8.573
angles: 24.85 24.85 24.85
Fractional positions:
Ag 0.000 0.000 0.000
Bi 0.500 0.500 0.500
S 0.390 0.390 0.390
S 0.610 0.610 0.610

Results
- Energy relative to the elements, uncorrected: 0.174 eV per atom
- Energy: -3.573 eV per atom
- Space-group type: R-3m, No. 166
- Total moment: 0.0 μB per formula unit

[11]
The following is a DFT calculation (GGA-PBE) of a relaxed Ag2Bi2S crystal.

abc: 7.133 7.133 4.741
angles: 90.00 90.00 90.00
Fractional positions:
Ag 0.140 0.360 0.000
Ag 0.360 0.860 0.000
Ag 0.640 0.140 0.000
Ag 0.860 0.640 0.000
Bi 0.157 0.657 0.500
Bi 0.343 0.157 0.500
Bi 0.657 0.843 0.500
Bi 0.843 0.343 0.500
S 0.000 0.000 0.000
S 0.500 0.500 0.000

Results
- Energy relative to the elements, uncorrected: 0.216 eV per atom
- Energy: -3.302 eV per atom
- Space-group type: P4/mbm, No. 127
- Total moment: 0.0 μB per formula unit

[12]
The following is a DFT calculation (GGA-PBE) of a relaxed AgBi2S3 crystal.

abc: 7.148 7.148 13.347
angles: 96.85 96.85 111.71
Fractional positions:
Ag 0.023 0.942 0.597
Ag 0.058 0.977 0.903
Ag 0.942 0.023 0.097
Ag 0.977 0.058 0.403
Bi 0.077 0.427 0.682
Bi 0.239 0.429 0.054
Bi 0.427 0.077 0.182
Bi 0.429 0.239 0.554
Bi 0.571 0.761 0.446
Bi 0.573 0.923 0.818
Bi 0.761 0.571 0.946
Bi 0.923 0.573 0.318
S 0.027 0.686 0.131
S 0.169 0.831 0.750
S 0.218 0.458 0.485
S 0.314 0.973 0.369
S 0.458 0.218 0.985
S 0.482 0.518 0.750
S 0.518 0.482 0.250
S 0.542 0.782 0.015
S 0.686 0.027 0.631
S 0.782 0.542 0.515
S 0.831 0.169 0.250
S 0.973 0.314 0.869

Results
- Energy relative to the elements, uncorrected: -0.171 eV per atom
- Energy: -4.004 eV per atom
- Space-group type: C2/c, No. 15
- Total moment: 0.0 μB per formula unit